Record 1
Y7Er3Zr after structural relaxation, computed with GGA-PBE.

Cell and atoms, written as CIF:
```
data_Y7Er3Zr
_chemical_formula_sum 'Y14 Er6 Zr2'
_cell_length_a 9.7139
_cell_length_b 9.7139
_cell_length_c 13.0833
_cell_angle_alpha 100.85
_cell_angle_beta 100.85
_cell_angle_gamma 138.53
_symmetry_space_group_name_H-M 'P 1'
_symmetry_Int_Tables_number 1
loop_
_symmetry_equiv_pos_as_xyz
'x,y,z'
loop_
_atom_site_label
_atom_site_type_symbol
_atom_site_fract_x
_atom_site_fract_y
_atom_site_fract_z
Er1 Er 0.4999 0.9998 0.2497
Er2 Er 0.0000 0.0000 0.0000
Er3 Er 0.5001 0.0002 0.7503
Er4 Er 0.0002 0.5001 0.7503
Er5 Er 0.0000 0.0000 0.5000
Er6 Er 0.9998 0.4999 0.2497
Y1 Y 0.5566 0.8748 0.4695
Y2 Y 0.8748 0.5566 0.4695
Y3 Y 0.1252 0.4434 0.5305
Y4 Y 0.4434 0.1252 0.5305
Y5 Y 0.0867 0.9143 0.2502
Y6 Y 0.5571 0.8752 0.9698
Y7 Y 0.5000 0.5000 0.2499
Y8 Y 0.5000 0.5000 0.7501
Y9 Y 0.8752 0.5571 0.9698
Y10 Y 0.4429 0.1248 0.0302
Y11 Y 0.9133 0.0857 0.7498
Y12 Y 0.9143 0.0867 0.2502
Y13 Y 0.0857 0.9133 0.7498
Y14 Y 0.1248 0.4429 0.0302
Zr1 Zr 0.5000 0.5000 0.0000
Zr2 Zr 0.5000 0.5000 0.5000
```

Computed properties:
Final energy   -5.978 eV per atom
Crystal system   monoclinic
ρ   5.83 Mg/m³
Formation energy   0.16 eV per atom
Calculated volume   31.5 Å³/atom
DOS at the Fermi energy   1.57 states/eV/atom



Record 2
BaLi2Si2 after structural relaxation, computed with GGA-PBE.

Cell and atoms, written as CIF:
```
data_BaLi2Si2
_chemical_formula_sum 'Ba1 Li2 Si2'
_cell_length_a 4.3692
_cell_length_b 4.3691
_cell_length_c 7.0549
_cell_angle_alpha 90.00
_cell_angle_beta 90.00
_cell_angle_gamma 116.24
_symmetry_space_group_name_H-M 'P 1'
_symmetry_Int_Tables_number 1
loop_
_symmetry_equiv_pos_as_xyz
'x,y,z'
loop_
_atom_site_label
_atom_site_type_symbol
_atom_site_fract_x
_atom_site_fract_y
_atom_site_fract_z
Si1 Si 0.5000 0.5000 0.6615
Si2 Si 0.5000 0.5000 0.3385
Li1 Li 0.8297 0.1703 0.5000
Li2 Li 0.1703 0.8297 0.5000
Ba1 Ba 0.0000 0.0000 0.0000
```

Computed properties:
Final energy   -3.560 eV per atom
Crystal system   orthorhombic
Energy relative to the lowest polymorph listed for this composition   0.24 eV per formula unit
ρ   2.85 Mg/m³
Calculated volume   24.2 Å³/atom
DOS at the Fermi energy   0.38 states/eV/atom



Record 3
Pm4Pr2TmMg after structural relaxation, computed with GGA-PBE.

Cell and atoms, written as CIF:
```
data_Pm4Pr2TmMg
_chemical_formula_sum 'Pm4 Pr2 Tm1 Mg1'
_cell_length_a 5.0610
_cell_length_b 5.0628
_cell_length_c 11.4252
_cell_angle_alpha 63.69
_cell_angle_beta 90.00
_cell_angle_gamma 90.00
_symmetry_space_group_name_H-M 'P 1'
_symmetry_Int_Tables_number 1
loop_
_symmetry_equiv_pos_as_xyz
'x,y,z'
loop_
_atom_site_label
_atom_site_type_symbol
_atom_site_fract_x
_atom_site_fract_y
_atom_site_fract_z
Pm1 Pm 0.5000 0.7502 0.2492
Pm2 Pm 0.5000 0.2498 0.7508
Pm3 Pm 0.0000 0.7494 0.7511
Pm4 Pm 0.0000 0.2506 0.2489
Mg1 Mg 0.5000 0.5000 0.0000
Tm1 Tm 0.0000 0.5000 0.5000
Pr1 Pr 0.5000 0.0000 0.5000
Pr2 Pr 0.0000 0.0000 0.0000
```

Computed properties:
Final energy   -4.316 eV per atom
Crystal system   tetragonal
ρ   6.68 Mg/m³
Formation energy   0.01 eV per atom
Calculated volume   32.8 Å³/atom
DOS at the Fermi energy   1.49 states/eV/atom



Record 4
Zr2TePb after structural relaxation, computed with GGA-PBE.

Cell and atoms, written as CIF:
```
data_Zr2TePb
_chemical_formula_sum 'Zr2 Te1 Pb1'
_cell_length_a 3.4890
_cell_length_b 3.4919
_cell_length_c 8.4764
_cell_angle_alpha 65.58
_cell_angle_beta 90.00
_cell_angle_gamma 90.00
_symmetry_space_group_name_H-M 'P 1'
_symmetry_Int_Tables_number 1
loop_
_symmetry_equiv_pos_as_xyz
'x,y,z'
loop_
_atom_site_label
_atom_site_type_symbol
_atom_site_fract_x
_atom_site_fract_y
_atom_site_fract_z
Zr1 Zr 0.0000 0.4788 0.5221
Zr2 Zr 0.0000 0.0212 0.9779
Pb1 Pb 0.5000 0.2500 0.2500
Te1 Te 0.5000 0.7500 0.7500
```

Computed properties:
Final energy   -6.403 eV per atom
Crystal system   monoclinic
Energy relative to the lowest polymorph listed for this composition   0.08 eV per formula unit
ρ   9.13 Mg/m³
Calculated volume   23.5 Å³/atom
DOS at the Fermi energy   0.65 states/eV/atom



Record 5
SbRu2Se2 after structural relaxation, computed with GGA-PBE.

Cell and atoms, written as CIF:
```
data_SbRu2Se2
_chemical_formula_sum 'Sb1 Ru2 Se2'
_cell_length_a 4.0968
_cell_length_b 4.0968
_cell_length_c 6.3341
_cell_angle_alpha 71.13
_cell_angle_beta 71.13
_cell_angle_gamma 90.00
_symmetry_space_group_name_H-M 'P 1'
_symmetry_Int_Tables_number 1
loop_
_symmetry_equiv_pos_as_xyz
'x,y,z'
loop_
_atom_site_label
_atom_site_type_symbol
_atom_site_fract_x
_atom_site_fract_y
_atom_site_fract_z
Se1 Se 0.7500 0.2500 0.5000
Se2 Se 0.2500 0.7500 0.5000
Ru1 Ru 0.6110 0.6110 0.7781
Ru2 Ru 0.3890 0.3890 0.2219
Sb1 Sb 0.0000 0.0000 0.0000
```

Computed properties:
Final energy   -5.644 eV per atom
Crystal system   tetragonal
Energy relative to the lowest polymorph listed for this composition   0.37 eV per formula unit
ρ   8.46 Mg/m³
Calculated volume   18.9 Å³/atom
DOS at the Fermi energy   0.94 states/eV/atom



Record 6
RbLaP2O after structural relaxation, computed with GGA-PBE.

Cell and atoms, written as CIF:
```
data_RbLaP2O
_chemical_formula_sum 'Rb1 La1 P2 O1'
_cell_length_a 5.2570
_cell_length_b 5.2570
_cell_length_c 4.3955
_cell_angle_alpha 90.00
_cell_angle_beta 90.00
_cell_angle_gamma 90.00
_symmetry_space_group_name_H-M 'P 1'
_symmetry_Int_Tables_number 1
loop_
_symmetry_equiv_pos_as_xyz
'x,y,z'
loop_
_atom_site_label
_atom_site_type_symbol
_atom_site_fract_x
_atom_site_fract_y
_atom_site_fract_z
P1 P 0.5000 0.0000 0.0000
P2 P 0.0000 0.5000 0.0000
Rb1 Rb 0.0000 0.0000 0.0000
La1 La 0.5000 0.5000 0.5000
O1 O 0.0000 0.0000 0.5000
```

Computed properties:
Final energy   -3.823 eV per atom
Crystal system   tetragonal
Energy relative to the lowest polymorph listed for this composition   4.97 eV per formula unit
ρ   4.13 Mg/m³
Calculated volume   24.3 Å³/atom
DOS at the Fermi energy   0.98 states/eV/atom



Record 7
Li2CdTeS4 after structural relaxation, computed with GGA-PBE.

Cell and atoms, written as CIF:
```
data_Li2CdTeS4
_chemical_formula_sum 'Li4 Cd2 Te2 S8'
_cell_length_a 7.6540
_cell_length_b 7.6540
_cell_length_c 7.6575
_cell_angle_alpha 120.00
_cell_angle_beta 120.00
_cell_angle_gamma 90.43
_symmetry_space_group_name_H-M 'P 1'
_symmetry_Int_Tables_number 1
loop_
_symmetry_equiv_pos_as_xyz
'x,y,z'
loop_
_atom_site_label
_atom_site_type_symbol
_atom_site_fract_x
_atom_site_fract_y
_atom_site_fract_z
S1 S 0.2588 0.2410 0.4983
S2 S 0.2545 0.7459 0.5000
S3 S 0.7412 0.7590 0.5017
S4 S 0.7410 0.7588 0.9983
S5 S 0.7541 0.2455 0.0000
S6 S 0.7455 0.2541 0.5000
S7 S 0.2459 0.7545 0.0000
S8 S 0.2590 0.2412 0.0017
Cd1 Cd 0.0000 0.5000 0.5000
Cd2 Cd 0.0000 0.5000 0.0000
Li1 Li 0.5000 0.5000 0.0000
Li2 Li 0.5000 0.0000 0.0000
Li3 Li 0.5000 0.0000 0.5000
Li4 Li 0.0000 0.0000 0.5000
Te1 Te 0.0000 0.0000 0.0000
Te2 Te 0.5000 0.5000 0.5000
```

Computed properties:
Final energy   -3.645 eV per atom
Crystal system   orthorhombic
ρ   4.02 Mg/m³
Calculated volume   19.7 Å³/atom



Record 8
TbMg2Cu after structural relaxation, computed with GGA-PBE.

Cell and atoms, written as CIF:
```
data_TbMg2Cu
_chemical_formula_sum 'Tb1 Mg2 Cu1'
_cell_length_a 3.2954
_cell_length_b 3.2954
_cell_length_c 7.9216
_cell_angle_alpha 90.00
_cell_angle_beta 90.00
_cell_angle_gamma 90.00
_symmetry_space_group_name_H-M 'P 1'
_symmetry_Int_Tables_number 1
loop_
_symmetry_equiv_pos_as_xyz
'x,y,z'
loop_
_atom_site_label
_atom_site_type_symbol
_atom_site_fract_x
_atom_site_fract_y
_atom_site_fract_z
Mg1 Mg 0.0000 0.0000 0.1896
Mg2 Mg 0.0000 0.0000 0.8104
Tb1 Tb 0.5000 0.5000 0.5000
Cu1 Cu 0.5000 0.5000 0.0000
```

Computed properties:
Final energy   -3.013 eV per atom
Crystal system   tetragonal
ρ   5.23 Mg/m³
Formation energy   -0.03 eV per atom
Calculated volume   21.5 Å³/atom
DOS at the Fermi energy   1.04 states/eV/atom